This record from Alexandria describes a relaxed structure of LiZnCoF6. The functional is GGA+U.

Structure (POSCAR):
```
LiZnCoF6
1.0
4.6536 0.0000 0.0000
0.0000 4.6536 0.0000
0.0000 0.0000 9.0833
Li Zn Co F
2 2 2 12
direct
0.0000 0.0000 0.0000
0.5000 0.5000 0.5000
0.0000 0.0000 0.6697
0.5000 0.5000 0.1697
0.0000 0.0000 0.3328
0.5000 0.5000 0.8328
0.1889 0.1889 0.1783
0.1892 0.1892 0.4868
0.2146 0.2146 0.8339
0.2854 0.7146 0.3339
0.3111 0.6889 0.6783
0.3108 0.6892 0.9868
0.6889 0.3111 0.6783
0.6892 0.3108 0.9868
0.7146 0.2854 0.3339
0.7854 0.7854 0.8339
0.8111 0.8111 0.1783
0.8108 0.8108 0.4868
```

Values from the calculation:
Its space-group type is P4_2nm. The calculation puts the raw total energy at -79.4 eV/cell.